[1]
The following is a DFT calculation (PBE) of crystalline UHgB2O8 at its relaxed geometry.

a = 5.1746 Å, b = 5.1746 Å, c = 7.9522 Å
α = 101.97°, β = 101.97°, γ = 62.61°
Site moments in Bohr magnetons follow the coordinates.
Fractional coordinates of all 12 atoms:
O 0.8168 0.8168 0.1124  0.12
O 0.7674 0.7674 0.4034  0.35
O 0.2326 0.2326 0.5966  0.35
O 0.6206 0.1753 0.8229  0.22
O 0.8247 0.3794 0.1771  0.22
O 0.1832 0.1832 0.8876  0.12
O 0.1753 0.6206 0.8229  0.22
O 0.3794 0.8247 0.1771  0.22
B 0.3008 0.3008 0.7845  -0.02
B 0.6992 0.6992 0.2155  -0.02
U 0.0000 0.0000 0.0000  -0.10
Hg 0.0000 0.0000 0.5000  0.03

energy relative to the elements, uncorrected: -1.868 eV/atom

***

[2]
The following is a DFT calculation (PBE) of crystalline Mg2MoRh at its relaxed geometry.

a = 7.2845 Å, b = 7.2845 Å, c = 5.7912 Å
α = 51.03°, β = 51.03°, γ = 90.00°
Fractional coordinates of all 8 atoms:
Mo 0.5000 0.5000 0.0000
Mo 0.2500 0.7500 0.5000
Mg 0.3750 0.3513 0.7500
Mg 0.1013 0.6250 0.2500
Mg 0.8750 0.8987 0.7500
Mg 0.6487 0.1250 0.2500
Rh 0.0000 0.0000 0.0000
Rh 0.7500 0.2500 0.5000

energy relative to the lowest polymorph listed for this composition: 608.0 meV per atom
energy of formation: 198 kJ/mol of formula units

***

Number 1: uncorrected energy -7.25 eV/atom, V 183.42 Å³/cell. Number 2: uncorrected energy -4.83 eV/atom, V 140.45 Å³/cell.